The following is a DFT calculation (PBE) of a geometry-optimized TlMo2P structure.

Structure (extended XYZ):
```
8
Lattice="-2.3012 3.4136 0.6070 -3.2190 -2.3742 1.1480 0.0473 0.8800 9.4945" Properties=species:S:1:pos:R:3 pbc="T T T"
P -2.7601 0.5197 0.8775
P -2.9659 -0.4872 5.7600
Tl 0.0000 0.0000 0.0000
Tl -2.5070 2.4067 5.4895
Mo -1.6330 1.7662 2.8448
Mo -2.4836 -0.5466 3.2187
Mo -2.3086 0.8478 7.8767
Mo -4.5208 1.7716 8.5588
```

## Properties
relative energy among the computed polymorphs	586	meV per atom
symmetry	I-42d (122)
M_tot	0.0	μB per cell
ΔH_f (0 K)	0.684	eV/atom